Record 1
Crystalline Lu4PSN2 at its relaxed geometry. Source: OQMD via LeMat-Bulk, functional PBE-GGA.

Properties
The uncorrected energy is -7.224 eV per atom.

Cell lengths 3.5571, 3.5571, 12.2323 Å; angles 90.00, 90.00, 120.00 degrees
With the nearest neighbours (Å) after each atom.
Atoms (fractional coordinates):
Lu  0.0000  0.0000  0.1418  3 N 2.49, 3 P 2.69
Lu  0.0000  0.0000  0.8582  3 N 2.49, 3 P 2.69
Lu  0.6667  0.3333  0.3520  3 N 2.36
Lu  0.6667  0.3333  0.6480  3 N 2.36
P  0.6667  0.3333  0.0000  6 Lu 2.69
S  0.0000  0.0000  0.5000  6 Lu 2.74
N  0.3333  0.6667  0.2571  6 Lu 2.36-2.49
N  0.3333  0.6667  0.7429  6 Lu 2.36-2.49



Record 2
Crystalline Co7Hg at its relaxed geometry. Source: OQMD via LeMat-Bulk, functional PBE-GGA.

Properties
Its energy above the most stable polymorph in this dataset is 0.000 eV per atom. The uncorrected energy is -6.101 eV per atom.

Cell lengths 2.5898, 3.4052, 33.9512 Å; angles 90.00, 90.00, 90.00 degrees
With the nearest neighbours (Å) after each atom.
Atoms (fractional coordinates):
Co  0.2500  0.2500  0.0182  12 Co 2.47-2.59
Co  0.2500  0.2500  0.0910  12 Co 2.47-2.59
Co  0.2500  0.2500  0.1640  12 Co 2.41-2.59
Co  0.2500  0.2500  0.2350  7 Co 2.41-2.59
Co  0.2500  0.2500  0.7994  11 Co 2.44-2.59
Co  0.2500  0.2500  0.8719  12 Co 2.46-2.59
Co  0.2500  0.2500  0.9453  12 Co 2.47-2.59
Co  0.7500  0.7500  0.0547  12 Co 2.47-2.59
Co  0.7500  0.7500  0.1281  12 Co 2.46-2.59
Co  0.7500  0.7500  0.2006  11 Co 2.44-2.59
Co  0.7500  0.7500  0.7650  7 Co 2.41-2.59
Co  0.7500  0.7500  0.8360  12 Co 2.41-2.59
Co  0.7500  0.7500  0.9090  12 Co 2.47-2.59
Co  0.7500  0.7500  0.9818  12 Co 2.47-2.59
Hg  0.2500  0.2500  0.7106  2 Hg 2.59, 4 Co 2.83
Hg  0.7500  0.7500  0.2894  2 Hg 2.59, 4 Co 2.83



Record 3
Crystalline ErZr2Sb3 at its relaxed geometry. Source: OQMD via LeMat-Bulk, functional PBE-GGA.

Properties
The uncorrected energy is -6.413 eV per atom.

Cell lengths 4.2115, 4.2115, 10.2478 Å; angles 90.00, 90.00, 120.00 degrees
With the nearest neighbours (Å) after each atom.
Atoms (fractional coordinates):
Er  0.0000  0.0000  0.0000  6 Sb 3.04
Zr  0.3333  0.6667  0.6533  6 Sb 2.90-2.98
Zr  0.6667  0.3333  0.3467  6 Sb 2.90-2.98
Sb  0.0000  0.0000  0.5000  6 Zr 2.90
Sb  0.3333  0.6667  0.1786  3 Zr 2.98, 3 Er 3.04
Sb  0.6667  0.3333  0.8214  3 Zr 2.98, 3 Er 3.04



Record 4
Crystalline PmGe2Pt5 at its relaxed geometry. Source: OQMD via LeMat-Bulk, functional PBE-GGA.

Properties
The uncorrected energy is -6.235 eV per atom.

Cell lengths 6.4525, 6.4525, 6.4525 Å; angles 144.09, 111.78, 79.57 degrees
With the nearest neighbours (Å) after each atom.
Atoms (fractional coordinates):
Pm  0.0000  0.0000  0.0000  4 Ge 3.17, 8 Pt 3.28
Ge  0.2489  0.7489  0.5000  7 Pt 2.42-2.68
Ge  0.7511  0.2511  0.5000  7 Pt 2.42-2.68
Pt  0.1579  0.3565  0.8014  3 Ge 2.42-2.68
Pt  0.4449  0.6435  0.8014  3 Ge 2.42-2.68
Pt  0.5000  0.0000  0.5000  2 Ge 2.49
Pt  0.5551  0.3565  0.1986  3 Ge 2.42-2.68
Pt  0.8421  0.6435  0.1986  3 Ge 2.42-2.68



Record 5
Crystalline SmHfW at its relaxed geometry. Source: OQMD via LeMat-Bulk, functional PBE-GGA.

Properties
Its energy above the most stable polymorph in this dataset is 0.910 eV per atom. The uncorrected energy is -7.548 eV per atom.

Cell lengths 4.7132, 4.7132, 4.7132 Å; angles 60.00, 60.00, 60.00 degrees
With the nearest neighbours (Å) after each atom.
Atoms (fractional coordinates):
Sm  0.0000  0.0000  0.0000  4 Hf 2.89, 4 W 2.89
Hf  0.7500  0.7500  0.7500  4 Sm 2.89
W  0.2500  0.2500  0.2500  4 Sm 2.89



Record 6
Crystalline LaSmBr3N at its relaxed geometry. Source: OQMD via LeMat-Bulk, functional PBE-GGA.

Properties
Its energy above the most stable polymorph in this dataset is 0.037 eV per atom. The uncorrected energy is -5.678 eV per atom.

Cell lengths 9.1989, 9.1989, 11.5806 Å; angles 121.81, 121.81, 25.44 degrees
With the nearest neighbours (Å) after each atom.
Atoms (fractional coordinates):
La  0.0812  0.0812  0.4550  2 N 2.36-2.37
La  0.9188  0.9188  0.5450  2 N 2.36-2.37
Sm  0.3633  0.3633  0.2136  2 N 2.42
Sm  0.6367  0.6367  0.7864  2 N 2.42
Br  0.1671  0.1671  0.0092  3 Sm 3.00-3.09
Br  0.2734  0.2734  0.3725  1 Sm 3.03, 2 La 3.04
Br  0.4640  0.4640  0.7680  1 Sm 2.99, 2 La 3.03
Br  0.5360  0.5360  0.2320  1 Sm 2.99, 2 La 3.03
Br  0.7266  0.7266  0.6275  1 Sm 3.03, 2 La 3.04
Br  0.8329  0.8329  0.9908  3 Sm 3.00-3.09
N  0.0744  0.0744  0.6526  2 La 2.36-2.37, 2 Sm 2.42
N  0.9256  0.9256  0.3474  2 La 2.36-2.37, 2 Sm 2.42



Record 7
Crystalline Li2Mg2In2FePd at its relaxed geometry. Source: OQMD via LeMat-Bulk, functional PBE-GGA.

Properties
The uncorrected energy is -3.503 eV per atom.

Cell lengths 4.5263, 4.5263, 6.5724 Å; angles 90.00, 90.00, 90.00 degrees
With the nearest neighbours (Å) after each atom.
Atoms (fractional coordinates):
Li  0.0000  0.0000  0.0000  4 Mg 2.78, 4 In 2.83
Li  0.5000  0.5000  0.5000  4 In 2.76, 4 Mg 2.81
Mg  0.0000  0.5000  0.2459  4 Li 2.78-2.81, 2 Pd 2.78, 2 Fe 2.81
Mg  0.5000  0.0000  0.7541  4 Li 2.78-2.81, 2 Pd 2.78, 2 Fe 2.81
In  0.0000  0.5000  0.7406  2 Fe 2.76, 4 Li 2.76-2.83, 2 Pd 2.83
In  0.5000  0.0000  0.2594  2 Fe 2.76, 4 Li 2.76-2.83, 2 Pd 2.83
Fe  0.0000  0.0000  0.5000  4 In 2.76, 4 Mg 2.81
Pd  0.5000  0.5000  0.0000  4 Mg 2.78, 4 In 2.83



Record 8
Crystalline Sc3CuSe at its relaxed geometry. Source: OQMD via LeMat-Bulk, functional PBE-GGA.

Properties
The uncorrected energy is -5.932 eV per atom.

Cell lengths 6.1871, 6.1871, 9.6454 Å; angles 90.00, 90.00, 145.69 degrees
With the nearest neighbours (Å) after each atom.
Atoms (fractional coordinates):
Sc  0.0830  0.9170  0.7500  2 Se 2.60, 2 Cu 2.67
Sc  0.3474  0.6526  0.5757  2 Se 2.67, 2 Cu 2.75
Sc  0.3474  0.6526  0.9243  2 Se 2.67, 2 Cu 2.75
Sc  0.6526  0.3474  0.0757  2 Se 2.67, 2 Cu 2.75
Sc  0.6526  0.3474  0.4243  2 Se 2.67, 2 Cu 2.75
Sc  0.9170  0.0830  0.2500  2 Se 2.60, 2 Cu 2.67
Cu  0.2520  0.7480  0.2500  6 Sc 2.67-2.75
Cu  0.7480  0.2520  0.7500  6 Sc 2.67-2.75
Se  0.0000  0.0000  0.0000  6 Sc 2.60-2.67
Se  0.0000  0.0000  0.5000  6 Sc 2.60-2.67



Question: Look up the uncorrected energy of the second one.
Answer: -6.101 eV per atom